The following is a DFT calculation (GGA-PBE) of a relaxed Co2OsSe crystal.

Computed properties:
E_form (uncorrected) in meV per atom: 740
DFT total energy in eV/atom: -6.49

Lattice parameters (Å, degrees): 6.2346 6.2346 6.2346 128.45 128.45 75.89
Last column: nearest neighbours and their distance in Å.
Positions (direct):
Co 0.1184 0.6250 0.9934  2 Os 2.26, 2 Se 2.30
Co 0.3750 0.3684 0.4934  2 Os 2.26, 2 Se 2.30
Co 0.6316 0.1250 0.0066  2 Os 2.26, 2 Se 2.30
Co 0.8750 0.8816 0.5066  2 Os 2.26, 2 Se 2.30
Os 0.0000 0.0000 0.0000  4 Co 2.26
Os 0.7500 0.2500 0.5000  4 Co 2.26
Se 0.2500 0.7500 0.5000  4 Co 2.30
Se 0.5000 0.5000 0.0000  4 Co 2.30